1.
The following is a GGA-PBE calculation of MnNb3Sb after structural relaxation, from the Alexandria database.

Output
* uncorrected formation energy: 981.8 kJ/mol of formula units
* calculated volume: 24.90 Å³/atom
* total magnetization: 0.99 Bohr magnetons per cell
* energy above the most stable polymorph in this dataset: 7.691 eV/f.u.
* SG: No. 221
* DFT total energy: -6.67 eV/atom

Geometry as extended XYZ:
```
5
Lattice="4.994 0.000 0.000 0.000 4.994 0.000 0.000 0.000 4.994" Properties=species:S:1:pos:R:3 pbc="T T T"
Sb 0.000 0.000 0.000
Nb 0.000 2.497 0.000
Nb 0.000 0.000 2.497
Nb 2.497 0.000 0.000
Mn 2.497 2.497 2.497
```

***

2.
The following is a GGA-PBE calculation of ZrZnIn2Re after structural relaxation, from the Alexandria database.

Output
* calculated volume: 31.84 Å³/atom
* energy relative to the elements: 1.35 eV per atom
* total magnetization: 1.55 Bohr magnetons per cell
* SG: No. 123
* DFT total energy: -4.20 eV/atom

Geometry as extended XYZ:
```
5
Lattice="-4.220 1.859 -3.333 0.392 -4.052 -2.757 -3.790 -2.632 3.330" Properties=species:S:1:pos:R:3 pbc="T T T"
Re 0.196 -2.026 -1.378
Zn -3.809 -2.412 -1.380
Zr 0.000 0.000 0.000
In -1.895 -1.316 1.665
In -2.110 0.930 -1.667
```

***

3.
The following is a GGA-PBE calculation of TlHAu3 after structural relaxation, from the Alexandria database.

Output
* calculated volume: 16.90 Å³/atom
* total magnetization: 0.00 Bohr magnetons per cell
* SG: No. 221
* DFT total energy: -2.80 eV/atom

Geometry as extended XYZ:
```
5
Lattice="-0.723 -2.374 3.619 -0.824 -3.526 -2.478 4.249 -1.088 0.135" Properties=species:S:1:pos:R:3 pbc="T T T"
H 0.000 0.000 0.000
Tl 1.351 -3.494 0.638
Au -0.412 -1.763 -1.239
Au 2.124 -0.544 0.067
Au -0.361 -1.187 1.809
```

***

4.
The following is a GGA-PBE calculation of MoAuBr2 after structural relaxation, from the Alexandria database.

Output
* uncorrected formation energy: 33.9 kJ/mol of formula units
* calculated volume: 26.99 Å³/atom
* total magnetization: 1.35 Bohr magnetons per cell
* energy above the most stable polymorph in this dataset: 0.016 eV/f.u.
* SG: No. 12
* DFT total energy: -4.28 eV/atom

Geometry as extended XYZ:
```
4
Lattice="7.718 0.034 -0.082 7.084 3.063 -0.082 1.574 0.329 4.595" Properties=species:S:1:pos:R:3 pbc="T T T"
Mo 12.283 2.570 3.323
Au 4.094 0.857 1.108
Br 2.930 0.613 4.103
Br 6.832 1.430 2.707
```